(1)
First-principles (GGA-PBE) data for Na8Bi2F after structural relaxation, as listed in Alexandria via LeMat-Bulk.

Geometry as CIF:
```
data_Na8Bi2F
_symmetry_space_group_name_H-M 'C 1 2/m 1'
_symmetry_Int_Tables_number 12
_cell_length_a 17.200
_cell_length_b 5.717
_cell_length_c 6.751
_cell_angle_alpha 90.00
_cell_angle_beta 113.06
_cell_angle_gamma 90.00
loop_
_symmetry_equiv_pos_as_xyz
'x,y,z'
'-x,-y,-z'
'-x,y,-z'
'x,-y,z'
'x+1/2,y+1/2,z'
'-x+1/2,-y+1/2,-z'
'-x+1/2,y+1/2,-z'
'x+1/2,-y+1/2,z'
loop_
_atom_site_label
_atom_site_type_symbol
_atom_site_fract_x
_atom_site_fract_y
_atom_site_fract_z
Na1 Na 0.000 0.000 0.246
Na2 Na 0.115 0.500 0.379
Na3 Na 0.117 0.500 0.850
Na4 Na 0.211 0.000 0.709
Bi1 Bi 0.173 0.000 0.173
F1 F 0.000 0.500 0.500
```

Results
E_form (uncorrected) (eV/atom): -0.648
Crystal system: monoclinic

(2)
First-principles (GGA-PBE) data for KCeSm2 after structural relaxation, as listed in Alexandria via LeMat-Bulk.

Geometry as CIF:
```
data_KCeSm2
_symmetry_space_group_name_H-M 'R -3 m'
_symmetry_Int_Tables_number 166
_symmetry_space_group_name_Hall '-R 3 2"'
_cell_length_a 4.2596
_cell_length_b 4.2596
_cell_length_c 31.8352
_cell_angle_alpha 90.00
_cell_angle_beta 90.00
_cell_angle_gamma 120.00
loop_
_atom_site_label
_atom_site_type_symbol
_atom_site_fract_x
_atom_site_fract_y
_atom_site_fract_z
K1 K 0.0000 0.0000 0.0000
Ce1 Ce 0.0000 0.0000 0.5000
Sm1 Sm 0.0000 0.0000 0.1185
```

Results
ΔH_f (0 K) (eV/atom): 0.749
Crystal system: trigonal

(3)
First-principles (GGA-PBE) data for Ca2In8Ga after structural relaxation, as listed in Alexandria via LeMat-Bulk.

Geometry as CIF:
```
data_Ca2In8Ga
_symmetry_space_group_name_H-M 'P 4/m m m'
_symmetry_Int_Tables_number 123
_symmetry_space_group_name_Hall '-P 4 2'
_cell_length_a 4.826
_cell_length_b 4.826
_cell_length_c 12.562
_cell_angle_alpha 90.00
_cell_angle_beta 90.00
_cell_angle_gamma 90.00
loop_
_atom_site_label
_atom_site_type_symbol
_atom_site_fract_x
_atom_site_fract_y
_atom_site_fract_z
Ca1 Ca 0.000 0.000 0.186
In1 In 0.000 0.500 0.000
In2 In 0.000 0.500 0.367
In3 In 0.500 0.500 0.185
Ga1 Ga 0.000 0.000 0.500
```

Results
ΔH_f (0 K) (eV/atom): -0.209
Crystal system: tetragonal

(4)
First-principles (GGA-PBE) data for Pr5Dy2Tm3 after structural relaxation, as listed in Alexandria via LeMat-Bulk.

Geometry as CIF:
```
data_Pr5Dy2Tm3
_symmetry_space_group_name_H-M 'C 1 2/c 1'
_symmetry_Int_Tables_number 15
_cell_length_a 10.741
_cell_length_b 14.919
_cell_length_c 10.063
_cell_angle_alpha 90.00
_cell_angle_beta 122.23
_cell_angle_gamma 90.00
loop_
_symmetry_equiv_pos_as_xyz
'x,y,z'
'-x,-y,-z'
'-x,y,-z+1/2'
'x,-y,z+1/2'
'x+1/2,y+1/2,z'
'-x+1/2,-y+1/2,-z'
'-x+1/2,y+1/2,-z+1/2'
'x+1/2,-y+1/2,z+1/2'
loop_
_atom_site_label
_atom_site_type_symbol
_atom_site_fract_x
_atom_site_fract_y
_atom_site_fract_z
Pr1 Pr 0.000 0.021 0.250
Pr2 Pr 0.000 0.230 0.250
Pr3 Pr 0.000 0.271 0.750
Pr4 Pr 0.246 0.381 0.245
Dy1 Dy 0.155 0.380 0.558
Tm1 Tm 0.000 0.477 0.750
Tm2 Tm 0.155 0.124 0.059
```

Results
ΔH_f (0 K) (eV/atom): 0.175
Crystal system: monoclinic

Number 1: E -27.31 eV per formula unit, size of the total moment 0.040 μB/cell. Number 2: E -13.47 eV per formula unit, size of the total moment 0.003 μB/cell. Number 3: E -31.24 eV per formula unit, size of the total moment 0.000 μB/cell. Number 4: E -44.76 eV per formula unit, size of the total moment 0.000 μB/cell.